TlCoIrAu: relaxed, GGA-PBE.

Properties
Distance to the lowest polymorph of the same formula: 0 kJ/mol of formula units

a b c (Å): 6.4225 6.4225 6.4225
angles (deg): 90.00 90.00 90.00
Space group F-43m (No. 216)
Inequivalent atoms, fractional coordinates:
Tl  0.0000  0.0000  0.0000 (multiplicity 4)
Co  0.2500  0.2500  0.2500 (multiplicity 4)
Ir  0.2500  0.2500  0.7500 (multiplicity 4)
Au  0.0000  0.0000  0.5000 (multiplicity 4)